# 1
Compound: NaSbO7
Source: Alexandria via LeMat-Bulk
Functional: PBE
Structure: relaxed

## Properties
Total magnetic moment   11.69 μB per cell
Electronic total energy   -83.94 eV per cell
Offset from the most stable computed form   22.3 kJ per mole of atoms

a = 6.483 Å, b = 6.483 Å, c = 6.707 Å
α = 90.00°, β = 90.00°, γ = 116.84°
Fractional coordinates of all 18 atoms:
Na  0.245  0.755  0.500
Na  0.755  0.245  0.000
Sb  0.373  0.627  0.025
Sb  0.627  0.373  0.525
O  0.021  0.979  0.075
O  0.103  0.461  0.201
O  0.109  0.891  0.963
O  0.151  0.421  0.817
O  0.421  0.151  0.317
O  0.453  0.547  0.570
O  0.461  0.103  0.701
O  0.539  0.897  0.201
O  0.547  0.453  0.070
O  0.579  0.849  0.817
O  0.849  0.579  0.317
O  0.891  0.109  0.463
O  0.897  0.539  0.701
O  0.979  0.021  0.575

***

# 2
Compound: Lu2CuN
Source: Alexandria via LeMat-Bulk
Functional: PBE
Structure: relaxed

## Properties
Total magnetic moment   0.01 μB per cell
Electronic total energy   -23.43 eV per cell

a = 8.418 Å, b = 8.418 Å, c = 8.418 Å
α = 22.38°, β = 22.38°, γ = 22.38°
Fractional coordinates of all 4 atoms:
Lu  0.112  0.112  0.112
Lu  0.888  0.888  0.888
Cu  0.000  0.000  0.000
N  0.500  0.500  0.500

***

# 3
Compound: Pr5Sm2Rh4
Source: Alexandria via LeMat-Bulk
Functional: PBE
Structure: relaxed

## Properties
DFT formation energy   -0.240 eV/atom
Total magnetic moment   0.00 μB per cell
Electronic total energy   -65.38 eV per cell

a = 12.094 Å, b = 12.094 Å, c = 7.136 Å
α = 106.58°, β = 106.58°, γ = 18.37°
Fractional coordinates of all 11 atoms:
Pr  0.000  0.000  0.000
Pr  0.237  0.237  0.760
Pr  0.376  0.376  0.612
Pr  0.624  0.624  0.388
Pr  0.763  0.763  0.240
Sm  0.382  0.382  0.136
Sm  0.618  0.618  0.864
Rh  0.066  0.066  0.573
Rh  0.498  0.498  0.689
Rh  0.502  0.502  0.311
Rh  0.934  0.934  0.427

***

# 4
Compound: SrZnMo2
Source: Alexandria via LeMat-Bulk
Functional: PBE
Structure: relaxed

## Properties
DFT formation energy   0.949 eV/atom
Total magnetic moment   0.00 μB per cell
Electronic total energy   -20.82 eV per cell

a = 5.705 Å, b = 5.705 Å, c = 5.705 Å
α = 138.84°, β = 138.84°, γ = 59.62°
Fractional coordinates of all 4 atoms:
Sr  0.000  0.000  0.000
Zn  0.500  0.500  0.000
Mo  0.250  0.750  0.500
Mo  0.750  0.250  0.500

***

# 5
Compound: TaZn2CdPt
Source: Alexandria via LeMat-Bulk
Functional: PBE
Structure: relaxed

## Properties
DFT formation energy   1.280 eV/atom
Total magnetic moment   0.00 μB per cell
Electronic total energy   -14.96 eV per cell

a = 4.590 Å, b = 4.590 Å, c = 5.206 Å
α = 90.00°, β = 90.00°, γ = 90.00°
Fractional coordinates of all 5 atoms:
Ta  0.000  0.000  0.000
Zn  0.000  0.500  0.500
Zn  0.500  0.000  0.500
Cd  0.000  0.000  0.500
Pt  0.500  0.500  0.000

***

# 6
Compound: NaAsOs2Pt
Source: Alexandria via LeMat-Bulk
Functional: PBE
Structure: relaxed

## Properties
DFT formation energy   2.599 eV/atom
Total magnetic moment   0.00 μB per cell
Electronic total energy   -21.47 eV per cell

a = 4.565 Å, b = 4.565 Å, c = 4.439 Å
α = 90.00°, β = 90.00°, γ = 90.00°
Fractional coordinates of all 5 atoms:
Na  0.000  0.000  0.000
As  0.500  0.500  0.500
Os  0.000  0.500  0.000
Os  0.500  0.000  0.000
Pt  0.000  0.000  0.500

***

# 7
Compound: ThVFe
Source: Alexandria via LeMat-Bulk
Functional: PBE
Structure: relaxed

## Properties
DFT formation energy   -0.060 eV/atom
Total magnetic moment   0.00 μB per cell
Electronic total energy   -50.36 eV per cell

a = 3.958 Å, b = 3.958 Å, c = 7.224 Å
α = 90.00°, β = 90.00°, γ = 90.00°
Fractional coordinates of all 6 atoms:
Th  0.250  0.250  0.150
Th  0.750  0.750  0.850
V  0.250  0.750  0.500
V  0.750  0.250  0.500
Fe  0.250  0.250  0.674
Fe  0.750  0.750  0.326

***

# 8
Compound: TcNiAu2
Source: Alexandria via LeMat-Bulk
Functional: PBE
Structure: relaxed

## Properties
DFT formation energy   0.331 eV/atom
Total magnetic moment   1.31 μB per cell
Electronic total energy   -21.38 eV per cell
Offset from the most stable computed form   19.8 kJ per mole of atoms

a = 5.532 Å, b = 5.532 Å, c = 5.532 Å
α = 151.22°, β = 128.97°, γ = 59.64°
Fractional coordinates of all 4 atoms:
Tc  0.000  0.000  0.000
Ni  0.786  0.286  0.500
Au  0.267  0.767  0.500
Au  0.545  0.545  0.000

***

# 9
Compound: La12TlSi6
Source: Alexandria via LeMat-Bulk
Functional: PBE
Structure: relaxed

## Properties
Total magnetic moment   0.00 μB per cell
Electronic total energy   -104.00 eV per cell

a = 9.114 Å, b = 9.114 Å, c = 9.114 Å
α = 109.47°, β = 109.47°, γ = 109.47°
Fractional coordinates of all 19 atoms:
La  0.110  0.298  0.811
La  0.189  0.487  0.298
La  0.189  0.890  0.702
La  0.298  0.189  0.487
La  0.298  0.811  0.110
La  0.487  0.298  0.189
La  0.513  0.702  0.811
La  0.702  0.189  0.890
La  0.702  0.811  0.513
La  0.811  0.110  0.298
La  0.811  0.513  0.702
La  0.890  0.702  0.189
Tl  0.000  0.000  0.000
Si  0.112  0.500  0.612
Si  0.388  0.888  0.500
Si  0.500  0.388  0.888
Si  0.500  0.612  0.112
Si  0.612  0.112  0.500
Si  0.888  0.500  0.388

***

# 10
Compound: Sr2AsBr
Source: Alexandria via LeMat-Bulk
Functional: PBE
Structure: relaxed

## Properties
Total magnetic moment   0.00 μB per cell
Electronic total energy   -15.67 eV per cell

a = 4.559 Å, b = 4.559 Å, c = 6.236 Å
α = 90.00°, β = 90.00°, γ = 90.00°
Fractional coordinates of all 4 atoms:
Sr  0.000  0.000  0.000
Sr  0.500  0.500  0.500
As  0.000  0.000  0.500
Br  0.500  0.500  0.000

***

# 11
Compound: CeGa4Co4
Source: Alexandria via LeMat-Bulk
Functional: PBE
Structure: relaxed

## Properties
DFT formation energy   -0.277 eV/atom
Total magnetic moment   2.25 μB per cell
Electronic total energy   -97.91 eV per cell

a = 5.557 Å, b = 5.557 Å, c = 8.612 Å
α = 90.00°, β = 90.00°, γ = 90.00°
Fractional coordinates of all 18 atoms:
Ce  0.250  0.750  0.250
Ce  0.750  0.250  0.750
Ga  0.029  0.250  0.054
Ga  0.250  0.029  0.554
Ga  0.250  0.471  0.554
Ga  0.471  0.250  0.054
Ga  0.529  0.750  0.946
Ga  0.750  0.529  0.446
Ga  0.750  0.971  0.446
Ga  0.971  0.750  0.946
Co  0.031  0.250  0.338
Co  0.250  0.031  0.838
Co  0.250  0.469  0.838
Co  0.469  0.250  0.338
Co  0.531  0.750  0.662
Co  0.750  0.531  0.162
Co  0.750  0.969  0.162
Co  0.969  0.750  0.662

***

# 12
Compound: Y2MgW
Source: Alexandria via LeMat-Bulk
Functional: PBE
Structure: relaxed

## Properties
DFT formation energy   0.392 eV/atom
Total magnetic moment   0.00 μB per cell
Electronic total energy   -25.91 eV per cell

a = 3.179 Å, b = 5.059 Å, c = 6.176 Å
α = 90.00°, β = 104.89°, γ = 90.00°
Fractional coordinates of all 4 atoms:
Y  0.000  0.000  0.000
Y  0.319  0.500  0.641
Mg  0.594  0.500  0.192
W  0.725  0.000  0.452

***

Copy entry 7 word for word.
Compound: ThVFe
Source: Alexandria via LeMat-Bulk
Functional: PBE
Structure: relaxed

## Properties
DFT formation energy   -0.060 eV/atom
Total magnetic moment   0.00 μB per cell
Electronic total energy   -50.36 eV per cell

a = 3.958 Å, b = 3.958 Å, c = 7.224 Å
α = 90.00°, β = 90.00°, γ = 90.00°
Fractional coordinates of all 6 atoms:
Th  0.250  0.250  0.150
Th  0.750  0.750  0.850
V  0.250  0.750  0.500
V  0.750  0.250  0.500
Fe  0.250  0.250  0.674
Fe  0.750  0.750  0.326

***

- Which formula does entry 6 have?
  NaAsOs2Pt

***

- electronic total energy of number 5 (TaZn2CdPt)?
  -14.96 eV per cell

***

- Which of these has the lowest electronic total energy?
  La12TlSi6